No. 1
Crystalline CsInO2 at its relaxed geometry, computed with PBE-GGA.

DOS at the Fermi energy   0.000 states/eV/cell
Raw formation energy   -1.3994 eV/atom
E   -4.78 eV per atom

CIF file:
```
data_CsInO2
_chemical_formula_sum 'Cs2 In2 O4'
_symmetry_space_group_name_H-M 'P 1 21/m 1'
_symmetry_Int_Tables_number 11
_cell_length_a 3.3765
_cell_length_b 4.4750
_cell_length_c 10.5010
_cell_angle_alpha 90.00
_cell_angle_beta 90.08
_cell_angle_gamma 90.00
loop_
_symmetry_equiv_pos_as_xyz
'x,y,z'
'-x,-y,-z'
'-x,y+1/2,-z'
'x,-y+1/2,z'
loop_
_atom_site_label
_atom_site_fract_x
_atom_site_fract_y
_atom_site_fract_z
Cs1 0.2476 0.2500 0.1630
In1 0.2499 0.7500 0.4104
O1 0.2500 0.2500 0.4476
O2 0.2508 0.2500 0.7288
```

---

No. 2
Crystalline Pm2Pr4Nd2Tm at its relaxed geometry, computed with PBE-GGA.

DOS at the Fermi energy   23.400 states/eV/cell
E   -4.72 eV per atom

CIF file:
```
data_Pm2Pr4Nd2Tm
_chemical_formula_sum 'Pm4 Pr8 Nd4 Tm2'
_symmetry_space_group_name_H-M 'C 1 2/m 1'
_symmetry_Int_Tables_number 12
_cell_length_a 19.1431
_cell_length_b 3.6959
_cell_length_c 9.8624
_cell_angle_alpha 90.00
_cell_angle_beta 115.42
_cell_angle_gamma 90.00
loop_
_symmetry_equiv_pos_as_xyz
'x,y,z'
'-x,-y,-z'
'-x,y,-z'
'x,-y,z'
'x+1/2,y+1/2,z'
'-x+1/2,-y+1/2,-z'
'-x+1/2,y+1/2,-z'
'x+1/2,-y+1/2,z'
loop_
_atom_site_label
_atom_site_fract_x
_atom_site_fract_y
_atom_site_fract_z
Pm1 0.1482 0.0000 0.1692
Pr1 0.0173 0.5000 0.8284
Pr2 0.1849 0.0000 0.8311
Nd1 0.1651 0.5000 0.4989
Tm1 0.0000 0.0000 0.5000
```